Entry 1:
## Tb4Er5 (PBE-GGA)

Data for a relaxed structure of Tb4Er5.

Results
The spin magnetization comes out at 0.0 μB/f.u. As for the relative energy among the computed polymorphs: 0 meV/atom. For the formation energy, the calculation gives 0.037 eV/atom.

a b c (Å): 3.5931 9.0029 9.0035
angles (deg): 92.00 78.49 78.49
Fractional positions:
Tb: 0.3565 0.9999 0.2877
Er: 0.2937 0.3727 0.0394
Tb: 0.6435 0.7123 0.0001
Er: 0.0000 0.6667 0.3333
Tb: 0.3565 0.6211 0.6665
Er: 0.0000 0.2924 0.7077
Tb: 0.6435 0.3335 0.3790
Er: 0.0000 0.0410 0.9590
Er: 0.7063 0.9606 0.6272



Entry 2:
## BiPb2N (PBE-GGA)

Data for a relaxed structure of BiPb2N.

Results
The spin magnetization comes out at 1.7 μB/f.u. As for the relative energy among the computed polymorphs: 652 meV/atom. For the uncorrected formation energy, the calculation gives 1026 meV per atom.

a b c (Å): 5.3055 5.3055 5.3055
angles (deg): 60.00 60.00 60.00
Fractional positions:
N: 0.0000 0.0000 0.0000
Bi: 0.5000 0.5000 0.5000
Pb: 0.2500 0.2500 0.2500
Pb: 0.7500 0.7500 0.7500



Entry 3:
## Ac3Ce2Co4 (PBE-GGA)

Data for a relaxed structure of Ac3Ce2Co4.

Results
The spin magnetization comes out at 0.0 μB/f.u. For the formation energy, the calculation gives -0.003 eV/atom.

a b c (Å): 5.8830 9.5660 9.5660
angles (deg): 73.70 90.17 90.17
Fractional positions:
Co: 0.1275 0.5736 0.0757
Ce: 0.5912 0.7839 0.6093
Ac: 0.1129 0.0185 0.7159
Co: 0.4277 0.4252 0.2140
Co: 0.8725 0.4264 0.9243
Ac: 0.3871 0.2841 0.9815
Ac: 0.6129 0.7159 0.0185
Co: 0.9277 0.2140 0.4252
Co: 0.6275 0.0757 0.5736
Ce: 0.4088 0.2161 0.3907
Co: 0.0723 0.7860 0.5748
Ac: 0.2500 0.6257 0.3743
Ac: 0.8871 0.9815 0.2841
Co: 0.5723 0.5748 0.7860
Ac: 0.7500 0.3743 0.6257
Ce: 0.0912 0.6093 0.7839
Co: 0.3725 0.9243 0.4264
Ce: 0.9088 0.3907 0.2161



no.,final energy (eV per cell)
1,-41.002
2,-15.521
3,-105.286